Version P
A plane-wave DFT calculation with PBE was carried out for crystalline Mg16Al12Pb at its relaxed geometry.

a b c (Å): 14.9503 14.9503 9.1886
angles (deg): 90.00 90.00 120.00
Space group R3m (No. 160, hexagonal axes)
One atom of each set of equivalent atoms:
Mg (0.0000, 0.0000, 0.0000) x3
Mg (0.0408, 0.3613, 0.3663) x18
Mg (0.1015, 0.5507, 0.5553) x9
Mg (0.1051, 0.2102, 0.5062) x9
Mg (0.2008, 0.4016, 0.1192) x9
Al (0.0016, 0.1885, 0.1845) x18
Al (0.1250, 0.0625, 0.7053) x9
Al (0.2103, 0.4205, 0.6101) x9
Pb (0.0000, 0.0000, 0.3433) x3

Results
- crystal system = trigonal
- calculated volume (Å³/cell) = 1778.6

---

Version Q
A plane-wave DFT calculation with PBE was carried out for crystalline Mg16Al12Pb at its relaxed geometry.

a b c (Å): 10.580 10.580 10.580
angles (deg): 90.00 90.00 90.00
Space group I-43m (No. 217)
One atom of each set of equivalent atoms:
Mg (0.043, 0.358, 0.642) x24
Mg (0.176, 0.176, 0.176) x8
Al (0.093, 0.093, 0.719) x24
Pb (0.000, 0.000, 0.000) x2

Results
- crystal system = cubic
- calculated volume (Å³/cell) = 1184.3

---

Of them, the most stable is version P and the least stable is version Q.

---

Version P
A plane-wave DFT calculation with PBE was carried out for crystalline Mg8AlPb2 at its relaxed geometry.

a b c (Å): 4.629 4.629 12.453
angles (deg): 90.00 90.00 90.00
Space group P4/mmm (No. 123)
One atom of each set of equivalent atoms:
Mg (0.000, 0.000, 0.183) x2
Mg (0.000, 0.500, 0.000) x2
Mg (0.000, 0.500, 0.367) x4
Al (0.500, 0.500, 0.500) x1
Pb (0.500, 0.500, 0.180) x2

Results
- crystal system = tetragonal
- calculated volume (Å³/cell) = 266.8

---

Version Q
A plane-wave DFT calculation with PBE was carried out for crystalline Mg8AlPb2 at its relaxed geometry.

a b c (Å): 8.007 14.327 5.092
angles (deg): 90.00 112.81 90.00
Space group C2/m (No. 12)
One atom of each set of equivalent atoms:
Mg (0.000, 0.199, 0.000) x4
Mg (0.112, 0.500, 0.809) x4
Mg (0.204, 0.104, 0.617) x8
Al (0.000, 0.000, 0.000) x2
Pb (0.000, 0.301, 0.500) x4

Results
- crystal system = monoclinic
- calculated volume (Å³/cell) = 538.4

---

Of them, the most stable is version P and the least stable is version Q.

---

Version P
A plane-wave DFT calculation with PBE was carried out for crystalline Mg3AlPd at its relaxed geometry.

a b c (Å): 4.962 4.962 4.962
angles (deg): 90.00 90.00 90.00
Space group Pm-3m (No. 221)
One atom of each set of equivalent atoms:
Mg (0.000, 0.000, 0.500) x3
Al (0.500, 0.500, 0.500) x1
Pd (0.000, 0.000, 0.000) x1

Results
- crystal system = cubic
- calculated volume (Å³/cell) = 122.2

---

Version Q
A plane-wave DFT calculation with PBE was carried out for crystalline Mg3AlPd at its relaxed geometry.

a b c (Å): 5.036 5.036 5.036
angles (deg): 90.00 90.00 90.00
Space group Pm-3m (No. 221)
One atom of each set of equivalent atoms:
Mg (0.000, 0.000, 0.500) x3
Al (0.000, 0.000, 0.000) x1
Pd (0.500, 0.500, 0.500) x1

Results
- crystal system = cubic
- calculated volume (Å³/cell) = 127.7

---

Version R
A plane-wave DFT calculation with PBE was carried out for crystalline Mg3AlPd at its relaxed geometry.

a b c (Å): 10.193 8.022 6.835
angles (deg): 90.00 129.86 90.00
Space group C2/m (No. 12)
One atom of each set of equivalent atoms:
Mg (0.057, 0.000, 0.280) x4
Mg (0.212, 0.315, 0.173) x8
Al (0.076, 0.500, 0.385) x4
Pd (0.236, 0.500, 0.859) x4

Results
- crystal system = monoclinic
- calculated volume (Å³/cell) = 429.0

---

Of them, the most stable is version R and the least stable is version Q.